## Co2OsO (PBE+U)

Data for Co2OsO after structural relaxation.

As for the total energy: -5.475 eV per atom. Its density is 10.86 Mg/m³. The excess energy over the best structure of this formula in the dataset comes out at 201.4 kJ/mol of formula units.

Cell: 5.831 5.831 5.831 Å, 90.00 90.00 90.00°
Space group Fm-3m (No. 225)
Symmetry-distinct sites (fractional):
Co1 0.250 0.250 0.250 (multiplicity 8)
Os1 0.000 0.000 0.000 (multiplicity 4)
O1 0.000 0.000 0.500 (multiplicity 4)